(1)
# AcDyRuAu

Crystalline AcDyRuAu at its relaxed geometry (PBE-GGA, the Alexandria database).

a = 7.3074 Å, b = 7.3074 Å, c = 7.3074 Å
α = 90.00°, β = 90.00°, γ = 90.00°
Space group F-43m (No. 216)
Unique sites:
Ac1 0.0000 0.0000 0.0000 x4
Dy1 0.0000 0.0000 0.5000 x4
Ru1 0.2500 0.2500 0.7500 x4
Au1 0.2500 0.2500 0.2500 x4

total energy = -5.7110 eV/atom
DFT formation energy = -0.395 eV/atom
crystal system = cubic

***

(2)
# SrCa2I

Crystalline SrCa2I at its relaxed geometry (PBE-GGA, the Alexandria database).

a = 3.9766 Å, b = 3.9766 Å, c = 10.3926 Å
α = 90.00°, β = 90.00°, γ = 90.00°
Space group P4/mmm (No. 123)
Unique sites:
Sr1 0.0000 0.0000 0.0000 x1
Ca1 0.5000 0.5000 0.2835 x2
I1 0.0000 0.0000 0.5000 x1

E_form (uncorrected) = -457 meV/atom
total energy = -2.2658 eV/atom
ΔE to the lowest computed polymorph = 0.19 eV/f.u.
crystal system = tetragonal

***

Magnetization / μB per formula unit: 0.0; 0.0